1.
Entry from Alexandria via LeMat-Bulk: crystalline NbTeSe2 at its relaxed geometry (PBE).

Unit cell a=3.392 b=3.392 c=33.183 alpha=90.00 beta=90.00 gamma=120.00
Element x y z (fractional)
Nb 0.000 0.000 0.000
Nb 0.333 0.667 0.667
Nb 0.667 0.333 0.333
Te 0.000 0.000 0.500
Te 0.333 0.667 0.167
Te 0.667 0.333 0.833
Se 0.000 0.000 0.385
Se 0.000 0.000 0.615
Se 0.333 0.667 0.052
Se 0.333 0.667 0.281
Se 0.667 0.333 0.719
Se 0.667 0.333 0.948

As for the total energy: -22.073 eV per formula unit. The space group is R-3m. As for the uncorrected formation energy: -473.2 meV per atom.

***

2.
Entry from Alexandria via LeMat-Bulk: crystalline TeWCl2 at its relaxed geometry (PBE).

Unit cell a=3.012 b=4.659 c=14.813 alpha=90.00 beta=90.00 gamma=90.00
Element x y z (fractional)
Te 0.000 0.000 0.000
Te 0.500 0.500 0.500
W 0.000 0.500 0.340
W 0.500 0.000 0.840
Cl 0.000 0.000 0.708
Cl 0.000 0.500 0.838
Cl 0.500 0.000 0.338
Cl 0.500 0.500 0.208

As for the total energy: -19.189 eV per formula unit. The space group is Imm2. As for the uncorrected formation energy: 149.8 meV per atom.

***

3.
Entry from Alexandria via LeMat-Bulk: crystalline Ce5Si3Ir at its relaxed geometry (PBE).

Unit cell a=8.321 b=8.321 c=7.839 alpha=111.57 beta=111.57 gamma=74.66
Element x y z (fractional)
Ce 0.054 0.054 0.740
Ce 0.111 0.538 0.377
Ce 0.221 0.779 0.000
Ce 0.281 0.281 0.980
Ce 0.462 0.889 0.623
Ce 0.538 0.111 0.377
Ce 0.719 0.719 0.020
Ce 0.779 0.221 0.000
Ce 0.889 0.462 0.623
Ce 0.946 0.946 0.260
Si 0.152 0.152 0.188
Si 0.197 0.197 0.537
Si 0.500 0.500 0.000
Si 0.500 0.500 0.500
Si 0.803 0.803 0.463
Si 0.848 0.848 0.812
Ir 0.398 0.398 0.675
Ir 0.602 0.602 0.325

As for the total energy: -57.129 eV per formula unit. The space group is C2/m. As for the uncorrected formation energy: -258.9 meV per atom.

***

4.
Entry from Alexandria via LeMat-Bulk: crystalline ScBi3Cl at its relaxed geometry (PBE).

Unit cell a=5.569 b=5.569 c=5.569 alpha=90.00 beta=90.00 gamma=90.00
Element x y z (fractional)
Sc 0.000 0.000 0.000
Bi 0.000 0.000 0.500
Bi 0.000 0.500 0.000
Bi 0.500 0.000 0.000
Cl 0.500 0.500 0.500

As for the total energy: -19.709 eV per formula unit. The space group is Pm-3m. As for the uncorrected formation energy: 22.5 meV per atom.

***

5.
Entry from Alexandria via LeMat-Bulk: crystalline Pr2MgAg at its relaxed geometry (PBE).

Unit cell a=7.706 b=7.706 c=7.706 alpha=90.00 beta=90.00 gamma=90.00
Element x y z (fractional)
Pr 0.250 0.250 0.250
Pr 0.250 0.250 0.750
Pr 0.250 0.750 0.250
Pr 0.250 0.750 0.750
Pr 0.750 0.250 0.250
Pr 0.750 0.250 0.750
Pr 0.750 0.750 0.250
Pr 0.750 0.750 0.750
Mg 0.000 0.000 0.000
Mg 0.000 0.500 0.500
Mg 0.500 0.000 0.500
Mg 0.500 0.500 0.000
Ag 0.000 0.000 0.500
Ag 0.000 0.500 0.000
Ag 0.500 0.000 0.000
Ag 0.500 0.500 0.500

As for the total energy: -14.534 eV per formula unit. The space group is Fm-3m.

***

6.
Entry from Alexandria via LeMat-Bulk: crystalline FeSiCl4 at its relaxed geometry (PBE).

Unit cell a=5.778 b=5.778 c=5.778 alpha=60.00 beta=60.00 gamma=60.00
Element x y z (fractional)
Fe 0.000 0.000 0.000
Si 0.750 0.750 0.750
Cl 0.374 0.374 0.374
Cl 0.374 0.374 0.877
Cl 0.374 0.877 0.374
Cl 0.877 0.374 0.374

As for the total energy: -14.832 eV per formula unit. The space group is F-43m. As for the uncorrected formation energy: 1073.4 meV per atom.

***

7.
Entry from Alexandria via LeMat-Bulk: crystalline Rb2NaTeS at its relaxed geometry (PBE).

Unit cell a=6.423 b=6.423 c=5.188 alpha=90.00 beta=90.00 gamma=90.00
Element x y z (fractional)
Rb 0.000 0.500 0.000
Rb 0.500 0.000 0.000
Na 0.000 0.000 0.500
Te 0.500 0.500 0.500
S 0.000 0.000 0.000

As for the total energy: -14.176 eV per formula unit. The space group is P4/mmm. As for the uncorrected formation energy: -730.5 meV per atom.

***

8.
Entry from Alexandria via LeMat-Bulk: crystalline Cs3AlCl6 at its relaxed geometry (PBE).

Unit cell a=10.816 b=10.816 c=8.193 alpha=90.00 beta=90.00 gamma=100.87
Element x y z (fractional)
Cs 0.082 0.918 0.500
Cs 0.197 0.401 0.561
Cs 0.401 0.197 0.061
Cs 0.599 0.803 0.561
Cs 0.803 0.599 0.061
Cs 0.918 0.082 0.000
Al 0.316 0.684 0.134
Al 0.684 0.316 0.634
Cl 0.128 0.618 0.228
Cl 0.146 0.188 0.277
Cl 0.188 0.146 0.777
Cl 0.318 0.682 0.871
Cl 0.382 0.872 0.228
Cl 0.437 0.563 0.232
Cl 0.563 0.437 0.732
Cl 0.618 0.128 0.728
Cl 0.682 0.318 0.371
Cl 0.812 0.854 0.277
Cl 0.854 0.812 0.777
Cl 0.872 0.382 0.728

As for the total energy: -35.700 eV per formula unit. The space group is Cmc2_1. As for the uncorrected formation energy: -1831.7 meV per atom.